Record 1
Computed, not measured: a PBEsol-optimized structure of In3ReH at the SCAN level of DFT.

Lattice parameters (Å, degrees): 5.1590 5.1590 5.1590 90.00 90.00 90.00
Fractional positions:
In 0.0000 0.0000 0.5000
In 0.0000 0.5000 0.0000
In 0.5000 0.0000 0.0000
Re 0.0000 0.0000 0.0000
H 0.5000 0.5000 0.5000

Properties
- N(E_F): 2.2 states/eV/f.u.
- E: -34.123 eV/atom
- Mass density: 6.43 g/cm³



Record 2
Computed, not measured: a PBEsol-optimized structure of In2H2Rh at the SCAN level of DFT.

Lattice parameters (Å, degrees): 7.0058 7.0058 7.0058 154.75 154.75 36.01
Fractional positions:
In 0.1292 0.1292 0.0000
In 0.8708 0.8708 0.0000
H 0.2500 0.7500 0.5000
H 0.7500 0.2500 0.5000
Rh 0.5000 0.5000 0.0000

Properties
- N(E_F): 1.1 states/eV/f.u.
- E: -21.327 eV/atom
- Mass density: 8.89 g/cm³



Record 3
Computed, not measured: a PBEsol-optimized structure of InHRh2 at the SCAN level of DFT.

Lattice parameters (Å, degrees): 4.2400 4.2400 4.2400 60.00 60.00 60.00
Fractional positions:
In 0.0000 0.0000 0.0000
H 0.5000 0.5000 0.5000
Rh 0.2500 0.2500 0.2500
Rh 0.7500 0.7500 0.7500

Properties
- N(E_F): 2.3 states/eV/f.u.
- E: -25.653 eV/atom
- Mass density: 9.91 g/cm³



Record 4
Computed, not measured: a PBEsol-optimized structure of InH3Rh at the SCAN level of DFT.

Lattice parameters (Å, degrees): 3.7261 3.7261 3.7261 90.00 90.00 90.00
Fractional positions:
In 0.0000 0.0000 0.0000
H 0.0000 0.0000 0.5000
H 0.0000 0.5000 0.0000
H 0.5000 0.0000 0.0000
Rh 0.5000 0.5000 0.5000

Properties
- N(E_F): 2.5 states/eV/f.u.
- E: -14.525 eV/atom
- Mass density: 7.09 g/cm³